# 1
Here is crystalline LaZn2Se at its relaxed geometry from the Alexandria database. Energies are from PBE.

The value obtained for the total magnetization is 0.507 μB per formula unit. Its crystal system is tetragonal. The uncorrected formation energy is -1.7 eV/f.u.

The structure belongs to space group P4/mmm (No. 123); the cell edges are 3.723, 3.723 and 6.475 Å and the angles 90.00°, 90.00° and 90.00°. The distinct sites, in fractional coordinates, are La at (0.000, 0.000, 0.000), Zn at (0.500, 0.500, 0.294) and Se at (0.000, 0.000, 0.500).

=====

# 2
Here is crystalline Dy4Ho8Pu at its relaxed geometry from the Alexandria database. Energies are from PBE.

The value obtained for the total magnetization is 6.366 μB per formula unit. As for the calculated formation energy: 0.5183 eV per atom. Its crystal system is trigonal.

The structure belongs to space group R-3m (No. 166, hexagonal axes); the cell edges are 10.8760, 10.8760 and 13.2827 Å and the angles 90.00°, 90.00° and 120.00°. The distinct sites, in fractional coordinates, are Dy at (0.0000, 0.0000, 0.0000), Dy at (0.0000, 0.5000, 0.0000), Ho at (0.0000, 0.0000, 0.2446), Ho at (0.0069, 0.5035, 0.7477) and Pu at (0.0000, 0.0000, 0.5000).